No. 1
A plane-wave DFT calculation with PBE-GGA was carried out for Ti2VW after structural relaxation.

Properties
Distance to the lowest polymorph of the same formula in eV per formula unit: 0.12
ΔE_f in eV per formula unit: 0.29

abc: 4.4832 4.4832 4.4832
angles: 60.00 60.00 60.00
Fractional positions:
1 W 0.5000 0.5000 0.5000
2 Ti 0.2500 0.2500 0.2500
3 V 0.0000 0.0000 0.0000
4 Ti 0.7500 0.7500 0.7500

=====

No. 2
A plane-wave DFT calculation with PBE-GGA was carried out for Rb3Sc3BiSe8 after structural relaxation.

Properties
Formation energy without anion corrections in meV/atom: -1323.8

abc: 8.0476 8.0556 9.3345
angles: 115.62 90.00 119.97
Fractional positions:
1 Sc 0.5000 0.5000 0.5000
2 Sc 0.0000 0.5000 0.5000
3 Se 0.7287 0.4574 0.6859
4 Bi 0.0000 0.0000 0.5000
5 Sc 0.5000 0.0000 0.5000
6 Se 0.2399 0.4797 0.6914
7 Rb 0.0000 0.0000 0.0000
8 Se 0.7117 0.9517 0.6912
9 Se 0.2883 0.0483 0.3088
10 Se 0.7601 0.5203 0.3086
11 Se 0.7600 0.0483 0.3088
12 Rb 0.5000 0.5000 0.0000
13 Rb 0.0000 0.5000 0.0000
14 Se 0.2400 0.9517 0.6912
15 Se 0.2713 0.5426 0.3141

=====

No. 3
A plane-wave DFT calculation with PBE-GGA was carried out for AlPtRh after structural relaxation.

Properties
Distance to the lowest polymorph of the same formula in eV per formula unit: 0.36
ΔE_f in eV per formula unit: -1.85

abc: 4.0913 4.0913 4.0839
angles: 89.90 120.06 120.12
Fractional positions:
1 Rh 0.9448 0.4723 0.4171
2 Pt 0.9441 0.9722 0.9163
3 Al 0.4444 0.2222 0.6666

=====

No. 4
A plane-wave DFT calculation with PBE-GGA was carried out for YCuB after structural relaxation.

Properties
ΔE_f in eV per formula unit: -0.94

abc: 3.1887 3.6028 8.2281
angles: 77.35 90.00 90.00
Fractional positions:
1 Y 0.7500 0.8990 0.2019
2 Cu 0.2500 0.2816 0.4369
3 B 0.2500 0.4808 0.0383
4 B 0.7500 0.5192 0.9617
5 Y 0.2500 0.1010 0.7981
6 Cu 0.7500 0.7184 0.5631

=====

No. 5
A plane-wave DFT calculation with PBE-GGA was carried out for CeNdEr4Tm2 after structural relaxation.

Properties
ΔE_f in eV per formula unit: 0.41

abc: 5.0092 4.9936 11.1104
angles: 63.30 90.00 90.00
Fractional positions:
1 Tm 0.5000 0.0000 0.5000
2 Er 0.5000 0.7465 0.2535
3 Er 0.5000 0.2535 0.7465
4 Er 0.0000 0.7528 0.7470
5 Tm 0.0000 0.0000 0.0000
6 Ce 0.0000 0.5000 0.5000
7 Er 0.0000 0.2472 0.2530
8 Nd 0.5000 0.5000 0.0000

=====

No. 6
A plane-wave DFT calculation with PBE-GGA was carried out for BaSrCo2 after structural relaxation.

Properties
Distance to the lowest polymorph of the same formula in eV per formula unit: 1.64
ΔE_f in eV per formula unit: 2.85

abc: 5.3036 5.3036 3.7365
angles: 90.01 90.01 89.96
Fractional positions:
1 Ba 0.0000 0.5000 0.5000
2 Co 0.5000 0.5000 0.0000
3 Co 0.0000 0.0000 0.0000
4 Sr 0.5000 0.0000 0.5000

=====

No. 7
A plane-wave DFT calculation with PBE-GGA was carried out for KScSb2 after structural relaxation.

Properties
Distance to the lowest polymorph of the same formula in eV per formula unit: 0.44
Formation energy without anion corrections in meV/atom: -465.6

abc: 9.7739 9.7739 9.7739
angles: 22.57 22.57 22.57
Fractional positions:
1 Sb 0.9871 0.9871 0.9871
2 Sb 0.5129 0.5129 0.5129
3 K 0.7500 0.7500 0.7500
4 Sc 0.2500 0.2500 0.2500

=====

No. 8
A plane-wave DFT calculation with PBE-GGA was carried out for BaAgP2 after structural relaxation.

Properties
Distance to the lowest polymorph of the same formula in eV per formula unit: 1.09
ΔE_f in eV per formula unit: -0.85

abc: 5.5402 5.5402 5.6936
angles: 68.46 68.46 37.22
Fractional positions:
1 Ba 0.2582 0.2582 0.2471
2 P 0.0652 0.0652 0.8515
3 P 0.7289 0.7289 0.7732
4 Ag 0.4476 0.4476 0.6282